Record 1
## SrTl2Rh (PBE-GGA)

Data for an optimized crystal structure of SrTl2Rh.

Results
V ... 210.2 Å³/cell
D(E_F) ... 0.698 states/eV per atom
Energy of formation ... -0.15 eV per atom

Lattice parameters (Å, degrees): 9.821 4.066 5.677 90.00 112.02 90.00
Space group C2/m (No. 12)
Unique sites:
Sr  0.000  0.000  0.000 x2
Tl  0.213  0.000  0.678 x4
Rh  0.000  0.500  0.500 x2

=====

Record 2
## SrTl3Rh2 (PBE-GGA)

Data for an optimized crystal structure of SrTl3Rh2.

Results
V ... 146.5 Å³/cell
ΔE to the lowest computed polymorph ... 0.25 eV/f.u.
D(E_F) ... 0.850 states/eV per atom
Energy of formation ... -0.07 eV per atom

Lattice parameters (Å, degrees): 6.3116 6.3116 4.2454 90.00 90.00 120.00
Space group P6/mmm (No. 191)
Unique sites:
Sr  0.0000  0.0000  0.0000 x1
Tl  0.0000  0.5000  0.5000 x3
Rh  0.3333  0.6667  0.0000 x2

=====

Record 3
## Sr5Tl2Rh (PBE-GGA)

Data for an optimized crystal structure of Sr5Tl2Rh.

Results
V ... 603.2 Å³/cell
D(E_F) ... 0.718 states/eV per atom
Energy of formation ... -0.29 eV per atom

Lattice parameters (Å, degrees): 9.531 13.970 4.530 90.00 90.00 90.00
Space group Pbam (No. 55)
Unique sites:
Sr  0.000  0.000  0.000 x2
Sr  0.153  0.315  0.000 x4
Sr  0.170  0.578  0.500 x4
Tl  0.054  0.825  0.500 x4
Rh  0.000  0.500  0.000 x2

=====

Record 4
## Sr2Tl5Rh3 (PBE-GGA)

Data for an optimized crystal structure of Sr2Tl5Rh3.

Results
V ... 976.5 Å³/cell
D(E_F) ... 0.483 states/eV per atom
Energy of formation ... -0.20 eV per atom

Lattice parameters (Å, degrees): 4.593 27.490 7.734 90.00 90.00 90.00
Space group Cmc2_1 (No. 36)
Unique sites:
Sr  0.000  0.026  0.000 x4
Sr  0.000  0.326  0.064 x4
Tl  0.000  0.096  0.380 x4
Tl  0.000  0.206  0.861 x4
Tl  0.000  0.208  0.270 x4
Tl  0.000  0.375  0.527 x4
Tl  0.000  0.449  0.171 x4
Rh  0.000  0.110  0.749 x4
Rh  0.000  0.270  0.569 x4
Rh  0.000  0.453  0.787 x4

=====

Record 5
## SrTl2Rh2 (PBE-GGA)

Data for an optimized crystal structure of SrTl2Rh2.

Results
V ... 240.2 Å³/cell
ΔE to the lowest computed polymorph ... 0.31 eV/f.u.
D(E_F) ... 0.522 states/eV per atom
Energy of formation ... -0.15 eV per atom

Lattice parameters (Å, degrees): 4.633 4.633 11.191 90.00 90.00 90.00
Space group I4/mmm (No. 139)
Unique sites:
Sr  0.000  0.000  0.000 x2
Tl  0.000  0.500  0.250 x4
Rh  0.000  0.000  0.390 x4

=====

Record 6
## SrTl2Rh2 (PBE-GGA)

Data for an optimized crystal structure of SrTl2Rh2.

Results
V ... 213.9 Å³/cell
ΔE to the lowest computed polymorph ... 0.47 eV/f.u.
D(E_F) ... 0.465 states/eV per atom
Energy of formation ... -0.12 eV per atom

Lattice parameters (Å, degrees): 8.023 8.023 3.323 90.00 90.00 90.00
Space group P4/mbm (No. 127)
Unique sites:
Sr  0.000  0.000  0.000 x2
Tl  0.153  0.347  0.500 x4
Rh  0.141  0.641  0.000 x4

=====

Record 7
## Sr2Tl8Rh (PBE-GGA)

Data for an optimized crystal structure of Sr2Tl8Rh.

Results
V ... 315.7 Å³/cell
D(E_F) ... 0.555 states/eV per atom
Energy of formation ... -0.20 eV per atom

Lattice parameters (Å, degrees): 4.940 4.940 12.937 90.00 90.00 90.00
Space group P4/mmm (No. 123)
Unique sites:
Sr  0.000  0.000  0.198 x2
Tl  0.000  0.500  0.000 x2
Tl  0.000  0.500  0.382 x4
Tl  0.500  0.500  0.185 x2
Rh  0.000  0.000  0.500 x1

=====

Record 8
## Sr12Tl3Rh5 (PBE-GGA)

Data for an optimized crystal structure of Sr12Tl3Rh5.

Results
V ... 6228.6 Å³/cell
D(E_F) ... 0.646 states/eV per atom
Energy of formation ... -0.03 eV per atom

Lattice parameters (Å, degrees): 18.399 18.399 18.399 90.00 90.00 90.00
Space group Ia-3d (No. 230)
Unique sites:
Sr  0.033  0.057  0.646 x96
Tl  0.000  0.250  0.125 x24
Rh  0.000  0.000  0.000 x16
Rh  0.000  0.250  0.375 x24

=====

Record 9
## Sr2Tl2Rh3 (PBE-GGA)

Data for an optimized crystal structure of Sr2Tl2Rh3.

Results
V ... 330.7 Å³/cell
D(E_F) ... 0.727 states/eV per atom
Energy of formation ... -0.21 eV per atom

Lattice parameters (Å, degrees): 11.748 4.448 7.160 90.00 117.88 90.00
Space group C2/m (No. 12)
Unique sites:
Sr  0.142  0.000  0.270 x4
Tl  0.151  0.000  0.763 x4
Rh  0.000  0.500  0.500 x2
Rh  0.079  0.500  0.927 x4

=====

Record 10
## SrTl2Rh (PBE-GGA)

Data for an optimized crystal structure of SrTl2Rh.

Results
V ... 111.4 Å³/cell
D(E_F) ... 0.599 states/eV per atom
Energy of formation ... -0.14 eV per atom

Lattice parameters (Å, degrees): 4.729 3.893 6.485 90.00 111.16 90.00
Space group Pm (No. 6)
Unique sites:
Sr  0.000  0.000  0.000 x1
Tl  0.319  0.500  0.635 x1
Tl  0.706  0.000  0.415 x1
Rh  0.543  0.500  0.089 x1